Material: PuFe2HgO8
Method: DFT, PBE with a Hubbard U
State: optimized geometry

a = 5.8783 Å, b = 5.8783 Å, c = 6.3543 Å
α = 90.00°, β = 90.00°, γ = 120.00°
With the nearest neighbours (Å) after each atom.
Atoms (fractional coordinates):
Pu1 0.0000 0.0000 0.0000  6 O 2.03
Fe1 0.3333 0.6667 0.7021  1 O 1.70
Fe2 0.6667 0.3333 0.2979  1 O 1.70
Hg1 0.0000 0.0000 0.5000  6 O 2.51
O1 0.1574 0.3147 0.8037  1 Fe 1.90, 1 Pu 2.03
O2 0.1574 0.8426 0.8037  1 Fe 1.90, 1 Pu 2.03
O3 0.3147 0.1574 0.1963  1 Fe 1.90, 1 Pu 2.03
O4 0.3333 0.6667 0.4346  1 Fe 1.70
O5 0.6667 0.3333 0.5654  1 Fe 1.70
O6 0.6853 0.8426 0.8037  1 Fe 1.90, 1 Pu 2.03
O7 0.8426 0.1574 0.1963  1 Fe 1.90, 1 Pu 2.03
O8 0.8426 0.6853 0.1963  1 Fe 1.90, 1 Pu 2.03

Computed properties:
size of the total moment = 10.000 Bohr magnetons per cell
total DFT energy (no corrections) = -6.61 eV/atom